Run A
A plane-wave DFT calculation with GGA-PBE was carried out for crystalline Hg2HSe at its relaxed geometry.

Values from the calculation:
Crystal system: tetragonal
SG: No. 122
Total magnetic moment: 0.000 μB/atom

Cell and atoms, written as POSCAR:
```
Hg2HSe
1.0
5.076 0.000 0.000
0.000 5.076 0.000
0.000 0.000 13.326
Hg H Se
8 4 4
Cartesian
0.767 1.269 1.666
1.269 3.305 4.997
1.269 4.309 11.660
1.771 1.269 8.329
3.305 3.807 8.329
3.807 0.767 11.660
3.807 1.771 4.997
4.309 3.807 1.666
0.000 0.000 0.000
0.000 2.538 3.331
2.538 0.000 9.994
2.538 2.538 6.663
0.000 0.000 6.663
0.000 2.538 9.994
2.538 0.000 3.331
2.538 2.538 0.000
```

=====

Run B
A plane-wave DFT calculation with GGA-PBE was carried out for crystalline Hg2HSe at its relaxed geometry.

Values from the calculation:
Crystal system: cubic
SG: No. 225
Total magnetic moment: 0.142 μB/atom

Cell and atoms, written as POSCAR:
```
Hg2HSe
1.0
6.830 0.000 0.000
0.000 6.830 0.000
0.000 0.000 6.830
Hg H Se
8 4 4
Cartesian
1.707 1.707 1.707
1.707 1.707 5.122
1.707 5.122 1.707
1.707 5.122 5.122
5.122 1.707 1.707
5.122 1.707 5.122
5.122 5.122 1.707
5.122 5.122 5.122
0.000 0.000 0.000
0.000 3.415 3.415
3.415 0.000 3.415
3.415 3.415 0.000
0.000 0.000 3.415
0.000 3.415 0.000
3.415 0.000 0.000
3.415 3.415 3.415
```

=====

Most stable structure, least stable structure: run A, run B.

=====

Run A
A plane-wave DFT calculation with GGA-PBE was carried out for crystalline Hg2H2Se at its relaxed geometry.

Values from the calculation:
Crystal system: triclinic
SG: No. 2
Total magnetic moment: 0.000 μB/atom

Cell and atoms, written as POSCAR:
```
Hg2H2Se
1.0
2.947 0.000 0.000
-0.005 3.667 0.000
-1.261 -0.006 8.399
Hg H Se
2 2 1
Cartesian
0.027 1.817 2.667
1.655 1.844 5.732
0.026 3.651 2.849
1.656 0.009 5.550
1.471 1.834 0.000
```

=====

Run B
A plane-wave DFT calculation with GGA-PBE was carried out for crystalline Hg2H2Se at its relaxed geometry.

Values from the calculation:
Crystal system: tetragonal
SG: No. 139
Total magnetic moment: 0.000 μB/atom

Cell and atoms, written as POSCAR:
```
Hg2H2Se
1.0
3.635 0.000 0.000
0.000 3.635 0.000
0.000 0.000 11.929
Hg H Se
4 4 2
Cartesian
0.000 0.000 1.724
0.000 0.000 10.206
1.818 1.818 4.241
1.818 1.818 7.688
0.000 1.818 2.982
0.000 1.818 8.947
1.818 0.000 2.982
1.818 0.000 8.947
0.000 0.000 5.965
1.818 1.818 0.000
```

=====

Most stable structure, least stable structure: run A, run B.

=====

Run A
A plane-wave DFT calculation with GGA-PBE was carried out for crystalline Si3HgH at its relaxed geometry.

Values from the calculation:
Crystal system: cubic
SG: No. 221
Total magnetic moment: 0.000 μB/atom

Cell and atoms, written as POSCAR:
```
Si3HgH
1.0
4.203 0.000 0.000
0.000 4.203 0.000
0.000 0.000 4.203
Si Hg H
3 1 1
Cartesian
0.000 0.000 2.102
0.000 2.102 0.000
2.102 0.000 0.000
2.102 2.102 2.102
0.000 0.000 0.000
```

=====

Run B
A plane-wave DFT calculation with GGA-PBE was carried out for crystalline Si3HgH at its relaxed geometry.

Values from the calculation:
Crystal system: cubic
SG: No. 221
Total magnetic moment: 0.000 μB/atom

Cell and atoms, written as POSCAR:
```
Si3HgH
1.0
5.088 0.000 0.000
0.000 5.088 0.000
0.000 0.000 5.088
Si Hg H
3 1 1
Cartesian
0.000 0.000 2.544
0.000 2.544 0.000
2.544 0.000 0.000
0.000 0.000 0.000
2.544 2.544 2.544
```

=====

Most stable structure, least stable structure: run A, run B.

=====

Run A
A plane-wave DFT calculation with GGA-PBE was carried out for crystalline SiHg3H at its relaxed geometry.

Values from the calculation:
Crystal system: cubic
SG: No. 221
Total magnetic moment: 0.045 μB/atom

Cell and atoms, written as POSCAR:
```
SiHg3H
1.0
5.156 0.000 0.000
0.000 5.156 0.000
0.000 0.000 5.156
Si Hg H
1 3 1
Cartesian
0.000 0.000 0.000
0.000 0.000 2.578
0.000 2.578 0.000
2.578 0.000 0.000
2.578 2.578 2.578
```

=====

Run B
A plane-wave DFT calculation with GGA-PBE was carried out for crystalline SiHg3H at its relaxed geometry.

Values from the calculation:
Crystal system: cubic
SG: No. 221
Total magnetic moment: 0.000 μB/atom

Cell and atoms, written as POSCAR:
```
SiHg3H
1.0
4.584 0.000 0.000
0.000 4.584 0.000
0.000 0.000 4.584
Si Hg H
1 3 1
Cartesian
0.000 0.000 0.000
0.000 2.292 2.292
2.292 0.000 2.292
2.292 2.292 0.000
2.292 2.292 2.292
```

=====

Most stable structure, least stable structure: run A, run B.

=====

Run A
A plane-wave DFT calculation with GGA-PBE was carried out for crystalline Sm4Hg2H at its relaxed geometry.

Values from the calculation:
Crystal system: tetragonal
SG: No. 139
Total magnetic moment: 0.000 μB/atom

Cell and atoms, written as POSCAR:
```
Sm4Hg2H
1.0
4.806 0.000 0.000
0.000 4.806 0.000
0.000 0.000 15.864
Sm Hg H
8 4 2
Cartesian
0.000 0.000 2.878
0.000 0.000 12.986
0.000 2.403 0.000
0.000 2.403 7.932
2.403 0.000 0.000
2.403 0.000 7.932
2.403 2.403 5.054
2.403 2.403 10.810
0.000 0.000 5.841
0.000 0.000 10.023
2.403 2.403 2.091
2.403 2.403 13.773
0.000 0.000 0.000
2.403 2.403 7.932
```

=====

Run B
A plane-wave DFT calculation with GGA-PBE was carried out for crystalline Sm4Hg2H at its relaxed geometry.

Values from the calculation:
Crystal system: monoclinic
SG: No. 11
Total magnetic moment: 0.000 μB/atom

Cell and atoms, written as POSCAR:
```
Sm4Hg2H
1.0
6.989 0.000 0.000
0.000 6.909 0.000
-2.185 0.000 7.747
Sm Hg H
8 4 2
Cartesian
-0.336 0.046 2.089
-0.336 3.408 2.089
2.485 5.182 0.596
1.551 5.182 4.778
3.253 1.727 2.969
2.319 1.727 7.151
5.140 3.501 5.658
5.140 6.863 5.658
1.544 1.727 0.221
0.531 1.727 4.632
4.273 5.182 3.116
3.260 5.182 7.526
-0.303 5.182 6.148
5.107 1.727 1.599
```

=====

Most stable structure, least stable structure: run B, run A.

=====

Run A
A plane-wave DFT calculation with GGA-PBE was carried out for crystalline Sm2HgH at its relaxed geometry.

Values from the calculation:
Crystal system: trigonal
SG: No. 160
Total magnetic moment: 0.000 μB/atom

Cell and atoms, written as POSCAR:
```
Sm2HgH
1.0
3.713 0.000 0.000
-1.857 3.216 0.000
0.000 0.000 22.922
Sm Hg H
6 3 3
Cartesian
0.000 0.000 0.000
0.000 0.000 4.853
0.000 2.144 15.281
0.000 2.144 20.134
1.857 1.072 7.641
1.857 1.072 12.493
0.000 0.000 10.055
0.000 2.144 2.415
1.857 1.072 17.696
0.000 0.000 13.900
0.000 2.144 6.259
1.857 1.072 21.541
```

=====

Run B
A plane-wave DFT calculation with GGA-PBE was carried out for crystalline Sm2HgH at its relaxed geometry.

Values from the calculation:
Crystal system: monoclinic
SG: No. 14
Total magnetic moment: 0.000 μB/atom

Cell and atoms, written as POSCAR:
```
Sm2HgH
1.0
6.885 0.000 0.000
0.000 6.815 0.000
-0.817 0.000 7.831
Sm Hg H
8 4 4
Cartesian
0.554 1.009 2.551
0.145 2.399 6.467
1.646 4.486 3.871
1.238 5.735 7.787
4.830 1.079 0.045
4.422 2.328 3.960
5.923 4.416 1.364
5.515 5.806 5.280
2.348 0.397 5.263
2.756 3.010 1.348
3.312 3.804 6.484
3.720 6.418 2.568
-0.545 4.528 7.164
-0.136 5.694 3.248
6.204 1.120 4.583
6.613 2.287 0.667
```

=====

Most stable structure, least stable structure: run B, run A.

=====

Run A
A plane-wave DFT calculation with GGA-PBE was carried out for crystalline Sm2HgH at its relaxed geometry.

Values from the calculation:
Crystal system: trigonal
SG: No. 166
Total magnetic moment: 0.000 μB/atom

Cell and atoms, written as POSCAR:
```
Sm2HgH
1.0
3.696 0.000 0.000
-1.848 3.201 0.000
0.000 0.000 23.217
Sm Hg H
6 3 3
Cartesian
0.000 0.000 5.277
0.000 0.000 17.941
0.000 2.134 10.202
0.000 2.134 20.755
1.848 1.067 2.462
1.848 1.067 13.016
0.000 0.000 0.000
0.000 2.134 15.478
1.848 1.067 7.739
0.000 0.000 11.609
0.000 2.134 3.870
1.848 1.067 19.348
```

=====

Run B
A plane-wave DFT calculation with GGA-PBE was carried out for crystalline Sm2HgH at its relaxed geometry.

Values from the calculation:
Crystal system: tetragonal
SG: No. 123
Total magnetic moment: 0.255 μB/atom

Cell and atoms, written as POSCAR:
```
Sm2HgH
1.0
3.393 0.000 0.000
0.000 3.393 0.000
0.000 0.000 7.623
Sm Hg H
2 1 1
Cartesian
0.000 0.000 1.639
0.000 0.000 5.984
1.696 1.696 3.811
1.696 1.696 0.000
```

=====

Run C
A plane-wave DFT calculation with GGA-PBE was carried out for crystalline Sm2HgH at its relaxed geometry.

Values from the calculation:
Crystal system: orthorhombic
SG: No. 62
Total magnetic moment: 0.000 μB/atom

Cell and atoms, written as POSCAR:
```
Sm2HgH
1.0
7.075 0.000 0.000
0.000 3.909 0.000
0.000 0.000 13.629
Sm Hg H
8 4 4
Cartesian
0.411 0.977 3.097
1.498 0.977 12.984
2.040 2.932 6.169
3.126 2.932 9.912
3.949 0.977 3.718
5.036 0.977 7.460
5.577 2.932 0.645
6.664 2.932 10.532
1.070 0.977 8.542
2.468 2.932 1.728
4.608 0.977 11.902
6.005 2.932 5.087
0.290 2.932 12.745
3.248 0.977 5.930
3.828 2.932 7.699
6.785 0.977 0.885
```

=====

Most stable structure, least stable structure: run C, run B.

=====

Run A
A plane-wave DFT calculation with GGA-PBE was carried out for crystalline SnHgH2 at its relaxed geometry.

Values from the calculation:
Crystal system: tetragonal
SG: No. 122
Total magnetic moment: 0.000 μB/atom

Cell and atoms, written as POSCAR:
```
SnHgH2
1.0
4.750 0.000 0.000
0.000 4.750 0.000
0.000 0.000 12.551
Sn Hg H
4 4 8
Cartesian
0.000 0.000 0.000
0.000 2.375 3.138
2.375 0.000 9.413
2.375 2.375 6.275
0.000 0.000 6.275
0.000 2.375 9.413
2.375 0.000 3.138
2.375 2.375 0.000
0.018 1.187 1.569
1.187 2.392 4.707
1.187 4.732 10.982
2.357 1.187 7.844
2.392 3.562 7.844
3.562 0.018 10.982
3.562 2.357 4.707
4.732 3.562 1.569
```

=====

Run B
A plane-wave DFT calculation with GGA-PBE was carried out for crystalline SnHgH2 at its relaxed geometry.

Values from the calculation:
Crystal system: cubic
SG: No. 225
Total magnetic moment: 0.000 μB/atom

Cell and atoms, written as POSCAR:
```
SnHgH2
1.0
6.198 0.000 0.000
0.000 6.198 0.000
0.000 0.000 6.198
Sn Hg H
4 4 8
Cartesian
0.000 0.000 0.000
0.000 3.099 3.099
3.099 0.000 3.099
3.099 3.099 0.000
0.000 0.000 3.099
0.000 3.099 0.000
3.099 0.000 0.000
3.099 3.099 3.099
1.550 1.550 1.550
1.550 1.550 4.649
1.550 4.649 1.550
1.550 4.649 4.649
4.649 1.550 1.550
4.649 1.550 4.649
4.649 4.649 1.550
4.649 4.649 4.649
```

=====

Run C
A plane-wave DFT calculation with GGA-PBE was carried out for crystalline SnHgH2 at its relaxed geometry.

Values from the calculation:
Crystal system: trigonal
SG: No. 160
Total magnetic moment: 0.000 μB/atom

Cell and atoms, written as POSCAR:
```
SnHgH2
1.0
3.596 0.000 0.000
-1.798 3.114 0.000
0.000 0.000 18.647
Sn Hg H
3 3 6
Cartesian
0.000 0.000 0.000
0.000 2.076 12.432
1.798 1.038 6.216
0.000 0.000 3.170
0.000 2.076 15.602
1.798 1.038 9.386
0.000 0.000 6.974
0.000 0.000 11.711
0.000 2.076 0.759
0.000 2.076 5.495
1.798 1.038 13.190
1.798 1.038 17.927
```

=====

Most stable structure, least stable structure: run A, run B.

=====

Run A
A plane-wave DFT calculation with GGA-PBE was carried out for crystalline SnHg3H at its relaxed geometry.

Values from the calculation:
Crystal system: cubic
SG: No. 221
Total magnetic moment: 0.192 μB/atom

Cell and atoms, written as POSCAR:
```
SnHg3H
1.0
5.867 0.000 0.000
0.000 5.867 0.000
0.000 0.000 5.867
Sn Hg H
1 3 1
Cartesian
0.000 0.000 0.000
0.000 0.000 2.933
0.000 2.933 0.000
2.933 0.000 0.000
2.933 2.933 2.933
```

=====

Run B
A plane-wave DFT calculation with GGA-PBE was carried out for crystalline SnHg3H at its relaxed geometry.

Values from the calculation:
Crystal system: cubic
SG: No. 221
Total magnetic moment: 0.000 μB/atom

Cell and atoms, written as POSCAR:
```
SnHg3H
1.0
4.755 0.000 0.000
0.000 4.755 0.000
0.000 0.000 4.755
Sn Hg H
1 3 1
Cartesian
0.000 0.000 0.000
0.000 2.378 2.378
2.378 0.000 2.378
2.378 2.378 0.000
2.378 2.378 2.378
```

=====

Most stable structure, least stable structure: run B, run A.

=====

Run A
A plane-wave DFT calculation with GGA-PBE was carried out for crystalline SnHgH at its relaxed geometry.

Values from the calculation:
Crystal system: triclinic
SG: No. 1
Total magnetic moment: 0.000 μB/atom

Cell and atoms, written as POSCAR:
```
SnHgH
1.0
4.836 0.000 0.000
-0.017 5.230 0.000
-2.407 -2.090 6.233
Sn Hg H
2 2 2
Cartesian
0.000 0.000 0.000
-0.006 3.546 4.704
-0.006 2.617 0.957
2.415 0.751 2.675
-0.002 2.745 3.101
0.007 0.010 4.226
```

=====

Run B
A plane-wave DFT calculation with GGA-PBE was carried out for crystalline SnHgH at its relaxed geometry.

Values from the calculation:
Crystal system: triclinic
SG: No. 2
Total magnetic moment: 0.000 μB/atom

Cell and atoms, written as POSCAR:
```
SnHgH
1.0
3.314 0.000 0.000
-1.656 2.873 0.000
-0.075 -0.435 15.098
Sn Hg H
2 2 2
Cartesian
0.004 0.941 1.337
1.580 1.497 13.761
0.020 0.899 4.490
1.564 1.539 10.609
-0.049 2.626 7.173
1.632 -0.188 7.925
```

=====

Most stable structure, least stable structure: run B, run A.

=====

Run A
A plane-wave DFT calculation with GGA-PBE was carried out for crystalline SrHgH at its relaxed geometry.

Values from the calculation:
Crystal system: trigonal
SG: No. 166
Total magnetic moment: 0.078 μB/atom

Cell and atoms, written as POSCAR:
```
SrHgH
1.0
2.115 1.221 9.468
-2.115 1.221 9.468
0.000 -2.442 9.468
Sr Hg H
2 2 2
Cartesian
0.000 0.000 3.145
0.000 0.000 25.261
0.000 0.000 10.311
0.000 0.000 18.094
0.000 0.000 5.623
0.000 0.000 22.782
```

=====

Run B
A plane-wave DFT calculation with GGA-PBE was carried out for crystalline SrHgH at its relaxed geometry.

Values from the calculation:
Crystal system: orthorhombic
SG: No. 61
Total magnetic moment: 0.000 μB/atom

Cell and atoms, written as POSCAR:
```
SrHgH
1.0
5.219 0.000 0.000
0.000 17.397 0.000
0.000 0.000 11.879
Sr Hg H
16 16 16
Cartesian
1.296 1.475 1.412
1.293 4.338 4.433
1.293 4.361 10.373
1.296 7.224 7.351
1.314 10.173 1.412
1.317 13.036 4.433
1.317 13.059 10.373
1.314 15.922 7.351
3.905 1.475 4.527
3.902 4.338 1.506
3.902 4.361 7.445
3.905 7.224 10.467
3.924 10.173 4.527
3.927 13.036 1.506
3.927 13.059 7.445
3.924 15.922 10.467
1.299 1.938 6.809
1.299 6.761 0.870
1.303 0.834 9.864
1.303 7.864 3.925
1.307 9.532 9.864
1.307 16.563 3.925
1.311 10.636 6.809
1.311 15.459 0.870
3.908 1.938 11.009
3.908 6.761 5.070
3.912 0.834 7.954
3.912 7.864 2.015
3.917 9.532 7.954
3.917 16.563 2.015
3.921 10.636 11.009
3.921 15.459 5.070
0.012 11.555 2.970
0.012 14.541 8.910
1.291 3.923 0.900
1.291 4.775 6.839
1.318 12.622 0.900
1.318 13.474 6.839
2.597 2.856 2.970
2.597 5.842 8.910
2.622 11.555 2.969
2.622 14.541 8.908
3.901 3.923 5.039
3.901 4.775 10.979
3.928 12.622 5.039
3.928 13.474 10.979
5.207 2.856 2.969
5.207 5.842 8.908
```

=====

Most stable structure, least stable structure: run B, run A.